No. 1
DFT (PBE) results for a geometry-optimized Nd6Tm2Sc3 structure.

Values from the calculation:
* formation energy: 0.09 eV/atom
* VASP energy: -5.0534 eV/atom

a = 6.010 Å, b = 8.303 Å, c = 8.365 Å
α = 105.05°, β = 108.51°, γ = 108.15°
Space group P-1 (No. 2)
Inequivalent atoms, fractional coordinates:
Nd  0.009  0.408  0.178 (multiplicity 2)
Nd  0.147  0.050  0.875 (multiplicity 2)
Nd  0.427  0.858  0.292 (multiplicity 2)
Tm  0.460  0.680  0.642 (multiplicity 2)
Sc  0.065  0.240  0.556 (multiplicity 2)
Sc  0.500  0.500  0.000 (multiplicity 1)



No. 2
DFT (PBE) results for a geometry-optimized NdTmSc4 structure.

Values from the calculation:
* formation energy: 0.24 eV/atom
* VASP energy: -5.5247 eV/atom
* excess energy over the best structure of this formula in the dataset: 204 meV per atom

a = 8.896 Å, b = 8.896 Å, c = 8.896 Å
α = 90.00°, β = 90.00°, γ = 90.00°
Space group F-43m (No. 216)
Inequivalent atoms, fractional coordinates:
Nd  0.000  0.000  0.000 (multiplicity 4)
Tm  0.250  0.250  0.250 (multiplicity 4)
Sc  0.125  0.125  0.625 (multiplicity 16)



No. 3
DFT (PBE) results for a geometry-optimized NdTm4Sc4 structure.

Values from the calculation:
* formation energy: 0.27 eV/atom
* VASP energy: -5.0619 eV/atom
* excess energy over the best structure of this formula in the dataset: 213 meV per atom

a = 6.744 Å, b = 6.744 Å, c = 11.749 Å
α = 90.00°, β = 90.00°, γ = 90.00°
Space group P4_2/nmc (No. 137, origin choice 2)
Inequivalent atoms, fractional coordinates:
Nd  0.250  0.750  0.250 (multiplicity 2)
Tm  0.009  0.250  0.024 (multiplicity 8)
Sc  0.031  0.250  0.307 (multiplicity 8)